(1)
# RbSmPb2Cl8 PBE-GGA relaxed
# Calculated volume, A^3/atom: 34.70
# Raw total energy, eV/atom: -3.9812
# Formation energy from raw total energies, eV/atom: -1.658
# N(E_F), states/eV per cell: 0.000
# Crystal system: monoclinic
data_RbSmPb2Cl8
_chemical_formula_sum 'Rb1 Sm1 Pb2 Cl8'
_cell_length_a 6.643
_cell_length_b 9.067
_cell_length_c 6.914
_cell_angle_alpha 90.00
_cell_angle_beta 90.94
_cell_angle_gamma 90.00
_space_group_name_H-M_alt 'P 1 2/m 1'
_space_group_IT_number 10
loop_
_space_group_symop_operation_xyz
'x,y,z'
'-x,-y,-z'
'-x,y,-z'
'x,-y,z'
loop_
_atom_site_label
_atom_site_fract_x
_atom_site_fract_y
_atom_site_fract_z
Rb1 0.000 0.000 0.000
Sm1 0.000 0.500 0.000
Pb1 0.500 0.249 0.500
Cl1 0.234 0.287 0.162
Cl2 0.250 0.500 0.685
Cl3 0.278 0.000 0.627

***

(2)
# RbSnPb2Cl8 PBE-GGA relaxed
# Calculated volume, A^3/atom: 33.92
# Raw total energy, eV/atom: -3.4469
# Formation energy from raw total energies, eV/atom: -1.184
# N(E_F), states/eV per cell: 3.687
# Crystal system: monoclinic
data_RbSnPb2Cl8
_chemical_formula_sum 'Rb1 Sn1 Pb2 Cl8'
_cell_length_a 6.622
_cell_length_b 8.948
_cell_length_c 6.872
_cell_angle_alpha 90.00
_cell_angle_beta 91.08
_cell_angle_gamma 90.00
_space_group_name_H-M_alt 'P 1 2/m 1'
_space_group_IT_number 10
loop_
_space_group_symop_operation_xyz
'x,y,z'
'-x,-y,-z'
'-x,y,-z'
'x,-y,z'
loop_
_atom_site_label
_atom_site_fract_x
_atom_site_fract_y
_atom_site_fract_z
Rb1 0.000 0.000 0.000
Sn1 0.000 0.500 0.000
Pb1 0.500 0.252 0.500
Cl1 0.229 0.294 0.168
Cl2 0.248 0.500 0.694
Cl3 0.279 0.000 0.628

***

(3)
# Rb3Sn2PbCl9 PBE-GGA relaxed
# Calculated volume, A^3/atom: 35.96
# Raw total energy, eV/atom: -3.4997
# Formation energy from raw total energies, eV/atom: -1.417
# N(E_F), states/eV per cell: 0.000
# Crystal system: trigonal
data_Rb3Sn2PbCl9
_chemical_formula_sum 'Rb3 Sn2 Pb1 Cl9'
_cell_length_a 7.9310
_cell_length_b 7.9310
_cell_length_c 9.9012
_cell_angle_alpha 90.00
_cell_angle_beta 90.00
_cell_angle_gamma 120.00
_space_group_name_H-M_alt 'P -3 m 1'
_space_group_IT_number 164
_space_group_name_Hall '-P 3 2"'
loop_
_atom_site_label
_atom_site_fract_x
_atom_site_fract_y
_atom_site_fract_z
Rb1 0.0000 0.0000 0.0000
Rb2 0.3333 0.6667 0.7195
Sn1 0.3333 0.6667 0.1703
Pb1 0.0000 0.0000 0.5000
Cl1 0.0000 0.5000 0.0000
Cl2 0.1645 0.3290 0.3221

***

(4)
# Rb3SnPb2Cl9 PBE-GGA relaxed
# Calculated volume, A^3/atom: 36.41
# Raw total energy, eV/atom: -3.5021
# Formation energy from raw total energies, eV/atom: -1.439
# N(E_F), states/eV per cell: 0.000
# Crystal system: trigonal
data_Rb3SnPb2Cl9
_chemical_formula_sum 'Rb3 Sn1 Pb2 Cl9'
_cell_length_a 8.0085
_cell_length_b 8.0085
_cell_length_c 9.8337
_cell_angle_alpha 90.00
_cell_angle_beta 90.00
_cell_angle_gamma 120.00
_space_group_name_H-M_alt 'P -3 m 1'
_space_group_IT_number 164
_space_group_name_Hall '-P 3 2"'
loop_
_atom_site_label
_atom_site_fract_x
_atom_site_fract_y
_atom_site_fract_z
Rb1 0.0000 0.0000 0.0000
Rb2 0.3333 0.6667 0.6680
Sn1 0.0000 0.0000 0.5000
Pb1 0.3333 0.6667 0.1696
Cl1 0.0000 0.5000 0.0000
Cl2 0.1645 0.3290 0.3357

***

Question: The highest raw total energy belongs to which entry?
Answer: RbSnPb2Cl8

***

Question: What is the formula in the second record?
Answer: RbSnPb2Cl8

***

Question: Among the records above, which one has the highest raw total energy?
Answer: RbSnPb2Cl8